Material: KMoIO6
Method: DFT, PBE with a Hubbard U
State: optimized geometry

a b c (Å): 5.786 5.786 5.872
angles (deg): 91.55 91.55 124.62
Sites, in units of the cell vectors:
K 0.000 0.000 0.000
Mo 0.660 0.340 0.500
I 0.323 0.677 0.500
O 0.037 0.644 0.683
O 0.356 0.963 0.317
O 0.503 0.420 0.720
O 0.580 0.497 0.280
O 0.619 0.021 0.681
O 0.979 0.381 0.319

Computed properties:
Energy relative to the lowest polymorph listed for this composition, eV/atom: 0.069
VASP energy, eV per formula unit: -49.92
N(E_F), states/eV per cell: 0.00